The following is a DFT calculation (PBE) of a geometry-optimized Cs2SrTl2Br6 structure.

- Total energy: -3.142 eV/atom
- Size of the total moment: 0.00 μB per formula unit

Structure (CIF):
```
data_Cs2SrTl2Br6
_chemical_formula_sum 'Cs4 Sr2 Tl4 Br12'
_cell_length_a 16.8494
_cell_length_b 8.1827
_cell_length_c 7.4916
_cell_angle_alpha 90.00
_cell_angle_beta 114.22
_cell_angle_gamma 90.00
_symmetry_space_group_name_H-M 'C 1 2/m 1'
_symmetry_Int_Tables_number 12
loop_
_symmetry_equiv_pos_as_xyz
'x,y,z'
'-x,-y,-z'
'-x,y,-z'
'x,-y,z'
'x+1/2,y+1/2,z'
'-x+1/2,-y+1/2,-z'
'-x+1/2,y+1/2,-z'
'x+1/2,-y+1/2,z'
loop_
_atom_site_label
_atom_site_type_symbol
_atom_site_fract_x
_atom_site_fract_y
_atom_site_fract_z
Cs1 Cs 0.2480 0.0000 0.3342
Sr1 Sr 0.0000 0.0000 0.5000
Tl1 Tl 0.0988 0.5000 0.9813
Br1 Br 0.0690 0.2617 0.3011
Br2 Br 0.1914 0.0000 0.8047
```